1.
Material: InSi2Rh
Method: DFT, GGA-PBE
State: optimized geometry

Cell: 3.7887 3.7887 4.6673 Å, 90.00 90.00 90.00°
Space group P4/mmm (No. 123)
Asymmetric unit:
In: 0.0000 0.0000 0.0000 (multiplicity 1)
Si: 0.0000 0.5000 0.5000 (multiplicity 2)
Rh: 0.5000 0.5000 0.0000 (multiplicity 1)

Summary:
For the energy relative to the elements, uncorrected, the calculation gives 218 meV/atom. As for the density: 6.8 Mg/m³.

***

2.
Material: InSiRh3
Method: DFT, GGA-PBE
State: optimized geometry

Cell: 4.8126 4.8126 4.8126 Å, 90.00 90.00 90.00°
Space group Pm-3m (No. 221)
Asymmetric unit:
In: 0.0000 0.0000 0.0000 (multiplicity 1)
Si: 0.5000 0.5000 0.5000 (multiplicity 1)
Rh: 0.0000 0.0000 0.5000 (multiplicity 3)

Summary:
For the energy relative to the elements, uncorrected, the calculation gives 1458 meV/atom. As for the density: 6.7 Mg/m³.

***

energy relative to the elements, uncorrected of number 1 (InSi2Rh)? 218 meV/atom